Here is a crystal of MnRe2Tc relaxed with PBEsol from Alexandria via LeMat-Bulk. Energies are from SCAN.

Calculated values
* E above lowest polymorph: 0 kJ/mol of formula units
* space-group type: Cmmm (65)
* uncorrected energy: -48.8425 eV/atom
* DOS at the Fermi energy: 0.794 states/eV per atom

abc: 5.366 7.561 2.686
angles: 90.00 90.00 90.00
Sites, in units of the cell vectors:
Mn (0.000, 0.000, 0.000)
Mn (0.500, 0.500, 0.000)
Re (0.250, 0.250, 0.500)
Re (0.250, 0.750, 0.500)
Re (0.750, 0.250, 0.500)
Re (0.750, 0.750, 0.500)
Tc (0.000, 0.500, 0.000)
Tc (0.500, 0.000, 0.000)